Computed, not measured: crystalline Y3UN4 at its relaxed geometry at the PBE level of DFT.

For the volume, the calculation gives 14.5 Å³ per atom. The total energy comes out at -9.609 eV per atom. As for the crystal system: orthorhombic.

The space group is Cmmm (No. 65) and the conventional cell measures 6.9248, 9.7072 and 3.4513 Å, with angles of 90.00, 90.00 and 90.00 degrees. The inequivalent atoms are Y at (0.0000, 0.0000, 0.0000), Y at (0.2500, 0.2500, 0.5000), U at (0.0000, 0.5000, 0.0000), N at (0.0000, 0.2636, 0.0000) and N at (0.2387, 0.5000, 0.5000).